VASP calculation (PBE) on an optimized crystal structure of Li2HoPuGe2.

abc: 4.4348 4.4348 7.1448
angles: 90.00 90.00 120.00
Space group P-3m1 (No. 164)
Symmetry-distinct sites (fractional):
Li  0.3333  0.6667  0.2373
Ho  0.0000  0.0000  0.0000
Pu  0.0000  0.0000  0.5000
Ge  0.3333  0.6667  0.7491

- Spin magnetization: 0.8648 μB per atom
- Energy of formation: -0.479 eV per atom
- Total DFT energy (no corrections): -34.85 eV per cell

***

VASP calculation (PBE) on an optimized crystal structure of LiHo2Ge2Rh5.

abc: 9.814 9.814 3.485
angles: 90.00 90.00 90.00
Space group P4/mbm (No. 127)
Symmetry-distinct sites (fractional):
Li  0.000  0.000  0.000
Ho  0.171  0.329  0.000
Ge  0.129  0.629  0.000
Rh  0.000  0.500  0.500
Rh  0.066  0.795  0.500

- Spin magnetization: 0.0000 μB per atom
- Energy of formation: -0.703 eV per atom
- Total DFT energy (no corrections): -128.18 eV per cell

***

VASP calculation (PBE) on an optimized crystal structure of LiHoGeS4.

abc: 7.404 7.735 10.527
angles: 90.00 90.00 90.00
Space group Imma (No. 74)
Symmetry-distinct sites (fractional):
Li  0.250  0.250  0.250
Ho  0.000  0.000  0.000
Ge  0.000  0.250  0.636
S  0.000  0.002  0.743
S  0.243  0.250  0.497

- Raw formation energy: -1080 meV/atom
- Spin magnetization: 0.0000 μB per atom
- Total DFT energy (no corrections): -140.70 eV per cell

***

VASP calculation (PBE) on an optimized crystal structure of LiHoGe2S6.

abc: 12.508 11.575 6.534
angles: 90.00 104.44 90.00
Space group C2/c (No. 15)
Symmetry-distinct sites (fractional):
Li  0.000  0.227  0.250
Ho  0.000  0.385  0.750
Ge  0.201  0.082  0.770
S  0.113  0.416  0.159
S  0.132  0.242  0.609
S  0.135  0.073  0.064

- Raw formation energy: -873 meV/atom
- Spin magnetization: 0.0000 μB per atom
- Total DFT energy (no corrections): -196.90 eV per cell

***

VASP calculation (PBE) on an optimized crystal structure of Li3Ho3GeS8.

abc: 7.6901 7.6901 18.4138
angles: 90.00 90.00 120.00
Space group R-3m (No. 166, hexagonal axes)
Symmetry-distinct sites (fractional):
Li  0.0000  0.5000  0.0000
Ho  0.0000  0.5000  0.5000
Ge  0.0000  0.0000  0.5000
S  0.0000  0.0000  0.2495
S  0.0312  0.5156  0.2452

- Raw formation energy: -1484 meV/atom
- Spin magnetization: 0.0000 μB per atom
- Total DFT energy (no corrections): -238.12 eV per cell

***

VASP calculation (PBE) on an optimized crystal structure of Li2HoGeS4.

abc: 6.504 3.754 6.595
angles: 90.00 109.70 90.00
Space group P2/m (No. 10)
Symmetry-distinct sites (fractional):
Li  0.000  0.000  0.000
Li  0.000  0.500  0.500
Ho  0.500  0.000  0.500
Ge  0.500  0.500  0.000
S  0.253  0.500  0.236
S  0.256  0.000  0.762

- Raw formation energy: -1204 meV/atom
- Spin magnetization: 0.0000 μB per atom
- Total DFT energy (no corrections): -39.17 eV per cell

***

VASP calculation (PBE) on an optimized crystal structure of Li2HoSiGe2.

abc: 4.012 7.658 7.628
angles: 90.00 90.00 90.00
Space group Pmc2_1 (No. 26)
Symmetry-distinct sites (fractional):
Li  0.000  0.101  0.000
Li  0.500  0.145  0.338
Ho  0.500  0.476  0.001
Si  0.000  0.346  0.739
Ge  0.000  0.343  0.261
Ge  0.500  0.165  0.701

- Raw formation energy: -417 meV/atom
- Spin magnetization: 0.0000 μB per atom
- Total DFT energy (no corrections): -51.13 eV per cell

***

VASP calculation (PBE) on an optimized crystal structure of Li2SmHo2Ge2.

abc: 4.4865 4.4865 26.7671
angles: 90.00 90.00 120.00
Space group R-3m (No. 166, hexagonal axes)
Symmetry-distinct sites (fractional):
Li  0.0000  0.0000  0.0965
Sm  0.0000  0.0000  0.5000
Ho  0.0000  0.0000  0.3723
Ge  0.0000  0.0000  0.2389

- Spin magnetization: 0.0000 μB per atom
- Energy of formation: -0.483 eV per atom
- Total DFT energy (no corrections): -90.95 eV per cell

***

VASP calculation (PBE) on an optimized crystal structure of SrLi2HoGe2.

abc: 4.5443 4.5443 7.6150
angles: 90.00 90.00 120.00
Space group P-3m1 (No. 164)
Symmetry-distinct sites (fractional):
Sr  0.0000  0.0000  0.0000
Li  0.3333  0.6667  0.6977
Ho  0.0000  0.0000  0.5000
Ge  0.3333  0.6667  0.2941

- Spin magnetization: 0.0000 μB per atom
- Energy of formation: -0.582 eV per atom
- Total DFT energy (no corrections): -22.81 eV per cell

***

VASP calculation (PBE) on an optimized crystal structure of LiTbHoGe.

abc: 7.087 7.087 7.087
angles: 90.00 90.00 90.00
Space group F-43m (No. 216)
Symmetry-distinct sites (fractional):
Li  0.000  0.000  0.000
Tb  0.250  0.250  0.250
Ho  0.250  0.250  0.750
Ge  0.000  0.000  0.500

- Spin magnetization: 0.0000 μB per atom
- Energy of formation: -0.412 eV per atom
- Total DFT energy (no corrections): -69.55 eV per cell

***

VASP calculation (PBE) on an optimized crystal structure of Li2TbHoGe2.

abc: 4.4055 4.4055 7.1739
angles: 90.00 90.00 120.00
Space group P-3m1 (No. 164)
Symmetry-distinct sites (fractional):
Li  0.3333  0.6667  0.2424
Tb  0.0000  0.0000  0.5000
Ho  0.0000  0.0000  0.0000
Ge  0.3333  0.6667  0.7531

- Spin magnetization: 0.0000 μB per atom
- Energy of formation: -0.688 eV per atom
- Total DFT energy (no corrections): -26.40 eV per cell

***

VASP calculation (PBE) on an optimized crystal structure of LiHoTcGe2.

abc: 4.013 4.013 11.094
angles: 90.00 90.00 90.00
Space group I-4m2 (No. 119)
Symmetry-distinct sites (fractional):
Li  0.000  0.000  0.000
Ho  0.000  0.500  0.250
Tc  0.000  0.000  0.500
Ge  0.000  0.500  0.634

- Spin magnetization: 0.1663 μB per atom
- Energy of formation: -0.400 eV per atom
- Total DFT energy (no corrections): -56.18 eV per cell